# BaHgPb (PBE, optimized geometry)
# Total energy in eV for the cell shown: -29.002
data_BaHgPb
_chemical_formula_sum 'Ba4 Hg4 Pb4'
_space_group_name_H-M_alt 'F -4 3 m'
_space_group_IT_number 216
_space_group_name_Hall 'F -4 2 3'
_cell_length_a 7.645
_cell_length_b 7.645
_cell_length_c 7.645
_cell_angle_alpha 90.00
_cell_angle_beta 90.00
_cell_angle_gamma 90.00
loop_
_atom_site_label
_atom_site_fract_x
_atom_site_fract_y
_atom_site_fract_z
_atom_site_occupancy
Ba1 0.000 0.000 0.000 1
Hg1 0.250 0.250 0.250 1
Pb1 0.000 0.000 0.500 1

***

# Ba2HgPb (PBE, optimized geometry)
# Energy above the lowest structure with this stoichiometry in kJ/mol of formula units: 123
data_Ba2HgPb
_chemical_formula_sum 'Ba8 Hg4 Pb4'
_space_group_name_H-M_alt 'F -4 3 m'
_space_group_IT_number 216
_space_group_name_Hall 'F -4 2 3'
_cell_length_a 8.364
_cell_length_b 8.364
_cell_length_c 8.364
_cell_angle_alpha 90.00
_cell_angle_beta 90.00
_cell_angle_gamma 90.00
loop_
_atom_site_label
_atom_site_fract_x
_atom_site_fract_y
_atom_site_fract_z
_atom_site_occupancy
Ba1 0.000 0.000 0.000 1
Ba2 0.250 0.250 0.250 1
Hg1 0.000 0.000 0.500 1
Pb1 0.250 0.250 0.750 1

***

| no. | mass density (g/cm³) |
| --- | --- |
| 1 | 8.10 |
| 2 | 7.75 |